First-principles (PBE) data for an optimized crystal structure of Bi6Pt2Au, as listed in the Alexandria database.

Geometry as CIF:
```
data_Bi6Pt2Au
_cell_length_a 12.6330
_cell_length_b 12.6330
_cell_length_c 5.6135
_cell_angle_alpha 90.00
_cell_angle_beta 90.00
_cell_angle_gamma 120.00
_symmetry_space_group_name_H-M 'P -3 m 1'
_symmetry_Int_Tables_number 164
_symmetry_space_group_name_Hall '-P 3 2"'
loop_
_atom_site_label
_atom_site_type_symbol
_atom_site_fract_x
_atom_site_fract_y
_atom_site_fract_z
Bi1 Bi 0.0902 0.5451 0.2261
Bi2 Bi 0.1175 0.2350 0.2307
Bi3 Bi 0.2107 0.4214 0.7713
Pt1 Pt 0.0000 0.3332 0.5000
Au1 Au 0.0000 0.0000 0.5000
Au2 Au 0.3333 0.6667 0.9913
```

Output
DOS(E_F) in states/eV per atom: 0.523
Magnetization in μB per formula unit: 0.00
Calculated formation energy in eV/f.u.: -1.40
Final energy in eV/f.u.: -40.04
Volume in Å³ per atom: 28.74